Entry 1:
## K2InReH (GGA-PBE)

Data for a relaxed structure of K2InReH.

Lattice parameters (Å, degrees): 6.8314 6.8314 3.5146 90.00 90.00 90.00
Positions (direct):
K1 0.0000 0.5000 0.0000
K2 0.5000 0.0000 0.0000
In1 0.0000 0.0000 0.0000
Re1 0.5000 0.5000 0.5000
H1 0.0000 0.0000 0.5000

Spin magnetization   3.71 μB/f.u.
Density of states at the Fermi level   4.2 states/eV per cell
SG   P4/mmm (123)
Total energy   -2.680 eV/atom

***

Entry 2:
## AcGdAg2 (GGA-PBE)

Data for a relaxed structure of AcGdAg2.

Lattice parameters (Å, degrees): 3.8170 3.8170 7.6083 90.00 90.00 90.00
Positions (direct):
Ac1 0.0000 0.0000 0.0000
Gd1 0.0000 0.0000 0.5000
Ag1 0.5000 0.5000 0.2825
Ag2 0.5000 0.5000 0.7175

Spin magnetization   7.18 μB/f.u.
Density of states at the Fermi level   3.9 states/eV per cell
Polymorph energy (0 for the lowest one)   0 meV per atom
SG   P4/mmm (123)
E_form   -26 kJ/mol of atoms
Total energy   -6.244 eV/atom

***

Entry 3:
## CuMo2Rh2 (GGA-PBE)

Data for a relaxed structure of CuMo2Rh2.

Lattice parameters (Å, degrees): 7.6078 7.6078 2.7411 90.00 90.00 90.00
Positions (direct):
Cu1 0.0000 0.0000 0.0000
Cu2 0.5000 0.5000 0.0000
Mo1 0.1202 0.3798 0.0000
Mo2 0.3798 0.8798 0.0000
Mo3 0.6202 0.1202 0.0000
Mo4 0.8798 0.6202 0.0000
Rh1 0.1722 0.6722 0.5000
Rh2 0.3278 0.1722 0.5000
Rh3 0.6722 0.8278 0.5000
Rh4 0.8278 0.3278 0.5000

Spin magnetization   0.00 μB/f.u.
Density of states at the Fermi level   6.4 states/eV per cell
Polymorph energy (0 for the lowest one)   51 meV per atom
SG   P4/mbm (127)
E_form   19 kJ/mol of atoms
Total energy   -7.895 eV/atom

***

Entry 4:
## PrDy2Ni (GGA-PBE)

Data for a relaxed structure of PrDy2Ni.

Lattice parameters (Å, degrees): 6.4627 6.4627 7.3483 90.00 90.00 135.98
Positions (direct):
Pr1 0.0382 0.9618 0.7500
Pr2 0.9618 0.0382 0.2500
Dy1 0.3454 0.6546 0.5293
Dy2 0.3454 0.6546 0.9707
Dy3 0.6546 0.3454 0.0293
Dy4 0.6546 0.3454 0.4707
Ni1 0.1954 0.8046 0.2500
Ni2 0.8046 0.1954 0.7500

Spin magnetization   0.00 μB/f.u.
Density of states at the Fermi level   7.3 states/eV per cell
Polymorph energy (0 for the lowest one)   0 meV per atom
SG   Cmcm (63)
E_form   -18 kJ/mol of atoms
Total energy   -5.132 eV/atom

***

Entry 5:
## Ac2PrTaN4 (GGA-PBE)

Data for a relaxed structure of Ac2PrTaN4.

Lattice parameters (Å, degrees): 6.5563 6.5563 13.3764 90.00 90.00 148.37
Positions (direct):
Ac1 0.1341 0.8659 0.5344
Ac2 0.1341 0.8659 0.9656
Ac3 0.8659 0.1341 0.0344
Ac4 0.8659 0.1341 0.4656
Pr1 0.4023 0.5977 0.7500
Pr2 0.5977 0.4023 0.2500
Ta1 0.3270 0.6730 0.2500
Ta2 0.6730 0.3270 0.7500
N1 0.0848 0.9152 0.7500
N2 0.2245 0.7755 0.1422
N3 0.2245 0.7755 0.3578
N4 0.5000 0.5000 0.0000
N5 0.5000 0.5000 0.5000
N6 0.7755 0.2245 0.6422
N7 0.7755 0.2245 0.8578
N8 0.9152 0.0848 0.2500

Spin magnetization   0.00 μB/f.u.
Density of states at the Fermi level   5.5 states/eV per cell
SG   Cmcm (63)
Total energy   -8.217 eV/atom

***

Entry 6:
## ZrCd2BCl (GGA-PBE)

Data for a relaxed structure of ZrCd2BCl.

Lattice parameters (Å, degrees): 5.7703 5.7703 4.8618 90.00 90.00 90.00
Positions (direct):
Zr1 0.0000 0.0000 0.0000
Cd1 0.0000 0.5000 0.0000
Cd2 0.5000 0.0000 0.0000
B1 0.5000 0.5000 0.5000
Cl1 0.0000 0.0000 0.5000

Spin magnetization   0.83 μB/f.u.
Density of states at the Fermi level   6.3 states/eV per cell
SG   P4/mmm (123)
Total energy   -2.657 eV/atom

***

Entry 7:
## Mg6In3Hg (GGA-PBE)

Data for a relaxed structure of Mg6In3Hg.

Lattice parameters (Å, degrees): 9.7761 4.5469 10.2504 90.00 92.05 90.00
Positions (direct):
Mg1 0.0473 0.2500 0.4007
Mg2 0.1478 0.7500 0.1992
Mg3 0.2691 0.2500 0.0051
Mg4 0.3471 0.2500 0.3037
Mg5 0.3628 0.7500 0.8150
Mg6 0.4470 0.2500 0.6017
Mg7 0.5530 0.7500 0.3983
Mg8 0.6372 0.2500 0.1850
Mg9 0.6529 0.7500 0.6963
Mg10 0.7309 0.7500 0.9949
Mg11 0.8522 0.2500 0.8008
Mg12 0.9527 0.7500 0.5993
In1 0.0499 0.7500 0.9010
In2 0.1544 0.2500 0.7051
In3 0.2535 0.7500 0.4960
In4 0.7465 0.2500 0.5040
In5 0.8456 0.7500 0.2949
In6 0.9501 0.2500 0.0990
Hg1 0.4405 0.7500 0.1217
Hg2 0.5595 0.2500 0.8783

Spin magnetization   0.00 μB/f.u.
Density of states at the Fermi level   5.1 states/eV per cell
Polymorph energy (0 for the lowest one)   0 meV per atom
SG   P2_1/m (11)
E_form   -11 kJ/mol of atoms
Total energy   -1.921 eV/atom

***

Entry 8:
## Li2Tb3Tl4 (GGA-PBE)

Data for a relaxed structure of Li2Tb3Tl4.

Lattice parameters (Å, degrees): 6.0270 6.0270 9.3964 115.47 115.47 48.25
Positions (direct):
Li1 0.1167 0.1167 0.2902
Li2 0.8833 0.8833 0.7098
Tb1 0.1610 0.1610 0.6605
Tb2 0.5000 0.5000 0.0000
Tb3 0.8390 0.8390 0.3395
Tl1 0.2281 0.2281 0.0835
Tl2 0.4409 0.4409 0.6213
Tl3 0.5591 0.5591 0.3787
Tl4 0.7719 0.7719 0.9165

Spin magnetization   0.00 μB/f.u.
Density of states at the Fermi level   3.8 states/eV per cell
Polymorph energy (0 for the lowest one)   0 meV per atom
SG   C2/m (12)
E_form   -29 kJ/mol of atoms
Total energy   -3.321 eV/atom

***

Entry 9:
## La2Pa3Ge4 (GGA-PBE)

Data for a relaxed structure of La2Pa3Ge4.

Lattice parameters (Å, degrees): 7.9332 7.8786 7.7669 90.00 111.30 90.00
Positions (direct):
La1 0.1969 0.1804 0.0650
La2 0.1969 0.3196 0.5650
La3 0.8031 0.6804 0.4350
La4 0.8031 0.8196 0.9350
Pa1 0.2477 0.6675 0.2260
Pa2 0.2477 0.8325 0.7260
Pa3 0.5000 0.0000 0.5000
Pa4 0.5000 0.5000 0.0000
Pa5 0.7523 0.1675 0.2740
Pa6 0.7523 0.3325 0.7740
Ge1 0.0863 0.5395 0.8356
Ge2 0.0863 0.9605 0.3356
Ge3 0.4953 0.1280 0.8727
Ge4 0.4953 0.3720 0.3727
Ge5 0.5047 0.6280 0.6273
Ge6 0.5047 0.8720 0.1273
Ge7 0.9137 0.0395 0.6644
Ge8 0.9137 0.4605 0.1644

Spin magnetization   0.00 μB/f.u.
Density of states at the Fermi level   23.8 states/eV per cell
SG   P2_1/c (14)
E_form   -56 kJ/mol of atoms
Total energy   -6.891 eV/atom

***

Entry 10:
## SrGdTh2 (GGA-PBE)

Data for a relaxed structure of SrGdTh2.

Lattice parameters (Å, degrees): 13.2229 13.2229 13.2229 15.51 15.51 15.51
Positions (direct):
Sr1 0.0000 0.0000 0.0000
Gd1 0.5000 0.5000 0.5000
Th1 0.0917 0.0917 0.0917
Th2 0.9083 0.9083 0.9083

Spin magnetization   7.19 μB/f.u.
Density of states at the Fermi level   6.5 states/eV per cell
SG   R-3m (166)
E_form   29 kJ/mol of atoms
Total energy   -7.345 eV/atom

***

Entry 11:
## GeTeSeN2 (GGA-PBE)

Data for a relaxed structure of GeTeSeN2.

Lattice parameters (Å, degrees): 3.8715 3.8715 7.4246 90.00 90.00 90.00
Positions (direct):
Ge1 0.0000 0.0000 0.0000
Te1 0.5000 0.5000 0.0000
Se1 0.5000 0.5000 0.5000
N1 0.0000 0.5000 0.5000
N2 0.5000 0.0000 0.5000

Spin magnetization   1.23 μB/f.u.
Density of states at the Fermi level   3.4 states/eV per cell
Polymorph energy (0 for the lowest one)   364 meV per atom
SG   P4/mmm (123)
Total energy   -4.015 eV/atom

***

Entry 12:
## Cu2PRu (GGA-PBE)

Data for a relaxed structure of Cu2PRu.

Lattice parameters (Å, degrees): 2.5997 2.5997 7.8413 90.00 90.00 90.00
Positions (direct):
Cu1 0.0000 0.0000 0.2488
Cu2 0.0000 0.0000 0.7512
P1 0.5000 0.5000 0.0000
Ru1 0.5000 0.5000 0.5000

Spin magnetization   0.00 μB/f.u.
Density of states at the Fermi level   3.9 states/eV per cell
SG   P4/mmm (123)
E_form   34 kJ/mol of atoms
Total energy   -5.371 eV/atom

***

- Number 5 is which compound?
  Ac2PrTaN4

***

- Number 6 is which compound?
  ZrCd2BCl

***

- density of states at the Fermi level of number 11 (GeTeSeN2)?
  3.4 states/eV per cell